Entry 1:
The following is a DFT calculation (GGA-PBE) of a relaxed structure of MnRhW2.

Formation enthalpy at 0 K (eV/atom): 0.08
Space group: Pm (6)
Crystal system: monoclinic
Relative energy among the computed polymorphs (eV/atom): 0.040

a = 2.713 Å, b = 4.410 Å, c = 4.897 Å
α = 90.00°, β = 95.11°, γ = 90.00°
Element x y z (fractional)
Mn1 0.000 0.000 0.000
Rh1 0.963 0.500 0.310
W1 0.365 0.500 0.821
W2 0.567 0.000 0.512

***

Entry 2:
The following is a DFT calculation (GGA-PBE) of a relaxed structure of MnRhW2.

Formation enthalpy at 0 K (eV/atom): 0.05
Space group: Pmmm (47)
Crystal system: orthorhombic
Relative energy among the computed polymorphs (eV/atom): 0.016

a = 2.722 Å, b = 3.873 Å, c = 5.511 Å
α = 90.00°, β = 90.00°, γ = 90.00°
Element x y z (fractional)
Mn1 0.000 0.000 0.000
Rh1 0.000 0.000 0.500
W1 0.500 0.500 0.244
W2 0.500 0.500 0.756

***

Entry 3:
The following is a DFT calculation (GGA-PBE) of a relaxed structure of Mn3RhW.

Formation enthalpy at 0 K (eV/atom): 1.95
Space group: Pm-3m (221)
Crystal system: cubic
Relative energy among the computed polymorphs (eV/atom): 0.458

a = 4.324 Å, b = 4.324 Å, c = 4.324 Å
α = 90.00°, β = 90.00°, γ = 90.00°
Element x y z (fractional)
Mn1 0.000 0.000 0.500
Mn2 0.000 0.500 0.000
Mn3 0.500 0.000 0.000
Rh1 0.000 0.000 0.000
W1 0.500 0.500 0.500

***

Entry 4:
The following is a DFT calculation (GGA-PBE) of a relaxed structure of MnRhW2.

Formation enthalpy at 0 K (eV/atom): 0.14
Space group: C2/m (12)
Crystal system: monoclinic
Relative energy among the computed polymorphs (eV/atom): 0.104

a = 4.920 Å, b = 4.920 Å, c = 4.576 Å
α = 102.32°, β = 102.32°, γ = 33.98°
Element x y z (fractional)
Mn1 0.000 0.000 0.000
Rh1 0.500 0.500 0.500
W1 0.247 0.247 0.747
W2 0.753 0.753 0.253

***

Entry 5:
The following is a DFT calculation (GGA-PBE) of a relaxed structure of MnRh5W.

Formation enthalpy at 0 K (eV/atom): -0.01
Space group: P4/mmm (123)
Crystal system: tetragonal

a = 3.948 Å, b = 3.948 Å, c = 6.730 Å
α = 90.00°, β = 90.00°, γ = 90.00°
Element x y z (fractional)
Mn1 0.000 0.000 0.000
Rh1 0.000 0.000 0.500
Rh2 0.000 0.500 0.225
Rh3 0.000 0.500 0.775
Rh4 0.500 0.000 0.225
Rh5 0.500 0.000 0.775
W1 0.500 0.500 0.500

***

Entry 6:
The following is a DFT calculation (GGA-PBE) of a relaxed structure of MnRhW2.

Formation enthalpy at 0 K (eV/atom): 0.20
Space group: R3m (160)
Crystal system: trigonal
Relative energy among the computed polymorphs (eV/atom): 0.163

a = 9.180 Å, b = 9.180 Å, c = 9.180 Å
α = 17.39°, β = 17.39°, γ = 17.39°
Element x y z (fractional)
Mn1 0.000 0.000 0.000
Rh1 0.746 0.746 0.746
W1 0.251 0.251 0.251
W2 0.493 0.493 0.493

***

Entry 7:
The following is a DFT calculation (GGA-PBE) of a relaxed structure of MnRhW3.

Formation enthalpy at 0 K (eV/atom): 1.29
Space group: Pm-3m (221)
Crystal system: cubic
Relative energy among the computed polymorphs (eV/atom): 0.000

a = 4.422 Å, b = 4.422 Å, c = 4.422 Å
α = 90.00°, β = 90.00°, γ = 90.00°
Element x y z (fractional)
Mn1 0.000 0.000 0.000
Rh1 0.500 0.500 0.500
W1 0.000 0.000 0.500
W2 0.000 0.500 0.000
W3 0.500 0.000 0.000

***

Entry 8:
The following is a DFT calculation (GGA-PBE) of a relaxed structure of YMnRh2.

Formation enthalpy at 0 K (eV/atom): -0.29
Space group: Cm (8)
Crystal system: monoclinic

a = 5.327 Å, b = 5.327 Å, c = 4.345 Å
α = 111.13°, β = 111.13°, γ = 37.81°
Element x y z (fractional)
Y1 0.000 0.000 0.000
Mn1 0.231 0.231 0.695
Rh1 0.503 0.503 0.510
Rh2 0.755 0.755 0.222

***

Number 1: density of states at the Fermi level 4.4 states/eV/cell, E_tot -10.5304 eV/atom. Number 2: density of states at the Fermi level 3.0 states/eV/cell, E_tot -10.5537 eV/atom. Number 3: density of states at the Fermi level 12.1 states/eV/cell, E_tot -7.6089 eV/atom. Number 4: density of states at the Fermi level 3.2 states/eV/cell, E_tot -10.4663 eV/atom. Number 5: density of states at the Fermi level 7.4 states/eV/cell, E_tot -8.4263 eV/atom. Number 6: density of states at the Fermi level 4.1 states/eV/cell, E_tot -10.4075 eV/atom. Number 7: density of states at the Fermi level 4.5 states/eV/cell, E_tot -9.7843 eV/atom. Number 8: density of states at the Fermi level 3.4 states/eV/cell, E_tot -7.8763 eV/atom.